# PBE LaMgCd2, optimized geometry
data_LaMgCd2
_space_group_name_H-M_alt 'R -3 m'
_space_group_IT_number 166
_space_group_name_Hall '-R 3 2"'
_cell_length_a 3.5799
_cell_length_b 3.5799
_cell_length_c 29.7211
_cell_angle_alpha 90.00
_cell_angle_beta 90.00
_cell_angle_gamma 120.00
loop_
_atom_site_label
_atom_site_type_symbol
_atom_site_fract_x
_atom_site_fract_y
_atom_site_fract_z
_atom_site_occupancy
La1 La 0.0000 0.0000 0.0000 1
Mg1 Mg 0.0000 0.0000 0.5000 1
Cd1 Cd 0.0000 0.0000 0.2416 1
# calculated formation energy = -0.05 eV per atom
# calculated volume = 27.5 A^3/atom
# theoretical density = 5.86 g/cm³
# energy = -2.139 eV/atom

---

# PBE La2Mg9Cd6, optimized geometry
data_La2Mg9Cd6
_space_group_name_H-M_alt 'P 6/m m m'
_space_group_IT_number 191
_space_group_name_Hall '-P 6 2'
_cell_length_a 5.9971
_cell_length_b 5.9971
_cell_length_c 14.6463
_cell_angle_alpha 90.00
_cell_angle_beta 90.00
_cell_angle_gamma 120.00
loop_
_atom_site_label
_atom_site_type_symbol
_atom_site_fract_x
_atom_site_fract_y
_atom_site_fract_z
_atom_site_occupancy
La1 La 0.0000 0.0000 0.1491 1
Mg1 Mg 0.0000 0.5000 0.0000 1
Mg2 Mg 0.0000 0.5000 0.3353 1
Cd1 Cd 0.3333 0.6667 0.1677 1
Cd2 Cd 0.3333 0.6667 0.5000 1
# calculated formation energy = -0.06 eV per atom
# calculated volume = 26.8 A^3/atom
# theoretical density = 4.26 g/cm³
# energy = -1.810 eV/atom

---

# PBE LaMg9Cd2, optimized geometry
data_LaMg9Cd2
_space_group_name_H-M_alt 'P 6/m m m'
_space_group_IT_number 191
_space_group_name_Hall '-P 6 2'
_cell_length_a 10.0393
_cell_length_b 10.0393
_cell_length_c 3.3000
_cell_angle_alpha 90.00
_cell_angle_beta 90.00
_cell_angle_gamma 120.00
loop_
_atom_site_label
_atom_site_type_symbol
_atom_site_fract_x
_atom_site_fract_y
_atom_site_fract_z
_atom_site_occupancy
La1 La 0.0000 0.0000 0.0000 1
Mg1 Mg 0.0000 0.5000 0.0000 1
Mg2 Mg 0.1821 0.3643 0.5000 1
Cd1 Cd 0.3333 0.6667 0.0000 1
# calculated formation energy = -0.08 eV per atom
# calculated volume = 24.0 A^3/atom
# theoretical density = 3.36 g/cm³
# energy = -1.837 eV/atom
# energy above the lowest structure with this stoichiometry = 37 kJ/mol of formula units